one:
This record from Alexandria via LeMat-Bulk describes an optimized crystal structure of Er3SeS3. The functional is GGA-PBE.

Density of states at the Fermi level   0.2850 states/eV per atom
Mass density   6.51 g/cm3
V   24.7 Å³ per atom

Lattice parameters (Å, degrees): 9.6443 9.6443 9.6443 109.47 109.47 109.47
Last column: nearest neighbours and their distance in Å.
Fractional coordinates of all 28 atoms:
Er: 0.0203 0.5102 0.2602  4 S 2.68-2.73, 2 Se 2.90
Er: 0.4898 0.9797 0.2398  4 S 2.68-2.73, 2 Se 2.90
Er: 0.2500 0.9898 0.5102  4 S 2.68-2.73, 2 Se 2.90
Er: 0.0102 0.7500 0.9898  4 S 2.68-2.73, 2 Se 2.90
Er: 0.0102 0.2602 0.5203  4 S 2.68-2.73, 2 Se 2.90
Er: 0.7398 0.9898 0.9797  4 S 2.68-2.73, 2 Se 2.90
Er: 0.7602 0.5203 0.5102  4 S 2.68-2.73, 2 Se 2.90
Er: 0.7398 0.7500 0.2602  4 S 2.68-2.73, 2 Se 2.90
Er: 0.4797 0.2398 0.9898  4 S 2.68-2.73, 2 Se 2.90
Er: 0.2500 0.2602 0.2398  4 S 2.68-2.73, 2 Se 2.90
Er: 0.7602 0.2398 0.7500  4 S 2.68-2.73, 2 Se 2.90
Er: 0.4898 0.5102 0.7500  4 S 2.68-2.73, 2 Se 2.90
Se: 0.7500 0.5000 0.0000  6 Er 2.90
Se: 0.5000 0.2500 0.5000  6 Er 2.90
Se: 0.7500 0.2500 0.2500  6 Er 2.90
Se: 0.0000 0.0000 0.2500  6 Er 2.90
S: 0.2559 0.0059 0.0119  4 Er 2.68-2.73
S: 0.7500 0.7441 0.7559  4 Er 2.68-2.73
S: 0.5119 0.7559 0.0059  4 Er 2.68-2.73
S: 0.9941 0.2500 0.0059  4 Er 2.68-2.73
S: 0.2441 0.7559 0.2500  4 Er 2.68-2.73
S: 0.5059 0.4941 0.2500  4 Er 2.68-2.73
S: 0.2559 0.2500 0.7441  4 Er 2.68-2.73
S: 0.2441 0.4881 0.4941  4 Er 2.68-2.73
S: 0.7500 0.0059 0.4941  4 Er 2.68-2.73
S: 0.9881 0.4941 0.7441  4 Er 2.68-2.73
S: 0.9941 0.7441 0.4881  4 Er 2.68-2.73
S: 0.5059 0.0119 0.7559  4 Er 2.68-2.73

two:
This record from Alexandria via LeMat-Bulk describes an optimized crystal structure of Er3SeS3. The functional is GGA-PBE.

Density of states at the Fermi level   0.3165 states/eV per atom
Mass density   6.97 g/cm3
V   23.0 Å³ per atom

Lattice parameters (Å, degrees): 8.2456 8.2456 7.2564 55.38 55.38 60.00
Last column: nearest neighbours and their distance in Å.
Fractional coordinates of all 14 atoms:
Er: 0.2832 0.5530 0.2406  5 S 2.69-2.89, 2 Se 2.90-2.98
Er: 0.9232 0.2832 0.2406  5 S 2.69-2.89, 2 Se 2.90-2.98
Er: 0.5530 0.9232 0.2406  5 S 2.69-2.89, 2 Se 2.90-2.98
Er: 0.4470 0.0768 0.7594  5 S 2.69-2.89, 2 Se 2.90-2.98
Er: 0.0768 0.7168 0.7594  5 S 2.69-2.89, 2 Se 2.90-2.98
Er: 0.7168 0.4470 0.7594  5 S 2.69-2.89, 2 Se 2.90-2.98
Se: 0.3307 0.3307 0.0079  6 Er 2.90-2.98
Se: 0.6693 0.6693 0.9921  6 Er 2.90-2.98
S: 0.3714 0.8023 0.7295  5 Er 2.69-2.89
S: 0.8023 0.0967 0.7295  5 Er 2.69-2.89
S: 0.0967 0.3714 0.7295  5 Er 2.69-2.89
S: 0.9033 0.6286 0.2705  5 Er 2.69-2.89
S: 0.1977 0.9033 0.2705  5 Er 2.69-2.89
S: 0.6286 0.1977 0.2705  5 Er 2.69-2.89

Verdict on stability: one comes out on top.

one:
This record from Alexandria via LeMat-Bulk describes an optimized crystal structure of Er2SiS. The functional is GGA-PBE.

Density of states at the Fermi level   0.3902 states/eV per atom
Mass density   7.27 g/cm3
V   22.5 Å³ per atom

Lattice parameters (Å, degrees): 3.9742 3.9742 6.9750 90.00 106.55 119.99
Last column: nearest neighbours and their distance in Å.
Fractional coordinates of all 4 atoms:
Er: 0.4987 0.2491 0.7478  3 Si 2.82, 3 S 2.83
Er: 0.5014 0.7509 0.2523  3 Si 2.81-2.82, 3 S 2.83
Si: 0.0000 0.5000 0.5000  6 Er 2.81-2.82
S: 0.9999 0.0000 0.9999  6 Er 2.83

two:
This record from Alexandria via LeMat-Bulk describes an optimized crystal structure of Er2SiS. The functional is GGA-PBE.

Density of states at the Fermi level   0.4693 states/eV per atom
Mass density   7.86 g/cm3
V   20.8 Å³ per atom

Lattice parameters (Å, degrees): 3.8589 4.0249 10.9170 100.62 90.00 90.00
Last column: nearest neighbours and their distance in Å.
Fractional coordinates of all 8 atoms:
Er: 0.7500 0.6785 0.3570  5 S 2.76-2.80, 1 Si 2.96
Er: 0.2500 0.3215 0.6430  5 S 2.76-2.80, 1 Si 2.96
Er: 0.7500 0.9336 0.8671  1 S 2.71, 4 Si 2.84
Er: 0.2500 0.0664 0.1329  1 S 2.71, 4 Si 2.84
Si: 0.2500 0.4596 0.9192  2 Si 2.59, 4 Er 2.84
Si: 0.7500 0.5404 0.0808  2 Si 2.59, 4 Er 2.84
S: 0.2500 0.1926 0.3853  6 Er 2.71-2.80
S: 0.7500 0.8074 0.6147  6 Er 2.71-2.80

Verdict on stability: two comes out on top.

one:
This record from Alexandria via LeMat-Bulk describes an optimized crystal structure of SmEr2S4. The functional is GGA-PBE.

Density of states at the Fermi level   0.3029 states/eV per atom
Mass density   6.37 g/cm3
V   22.9 Å³ per atom

Lattice parameters (Å, degrees): 3.8407 11.9353 13.9574 90.00 90.00 90.00
Last column: nearest neighbours and their distance in Å.
Fractional coordinates of all 28 atoms:
Sm: 0.2500 0.7495 0.3311  7 S 2.89-2.98
Sm: 0.7500 0.2505 0.6689  7 S 2.89-2.98
Sm: 0.2500 0.2495 0.1689  7 S 2.89-2.98
Sm: 0.7500 0.7505 0.8311  7 S 2.89-2.98
Er: 0.7500 0.0609 0.8867  6 S 2.68-2.74
Er: 0.2500 0.9391 0.1133  6 S 2.68-2.74
Er: 0.7500 0.5609 0.6133  6 S 2.68-2.74
Er: 0.2500 0.4391 0.3867  6 S 2.68-2.74
Er: 0.2500 0.4046 0.9066  6 S 2.65-2.77
Er: 0.7500 0.5954 0.0934  6 S 2.65-2.77
Er: 0.2500 0.9046 0.5934  6 S 2.65-2.77
Er: 0.7500 0.0954 0.4066  6 S 2.65-2.77
S: 0.7500 0.0973 0.0770  3 Er 2.69-2.74, 2 Sm 2.94
S: 0.2500 0.9027 0.9230  3 Er 2.69-2.74, 2 Sm 2.94
S: 0.7500 0.5973 0.4230  3 Er 2.69-2.74, 2 Sm 2.94
S: 0.2500 0.4027 0.5770  3 Er 2.69-2.74, 2 Sm 2.94
S: 0.7500 0.9564 0.7168  3 Er 2.65-2.68, 1 Sm 2.93
S: 0.2500 0.0436 0.2832  3 Er 2.65-2.68, 1 Sm 2.93
S: 0.7500 0.4564 0.7832  3 Er 2.65-2.68, 1 Sm 2.93
S: 0.2500 0.5436 0.2168  3 Er 2.65-2.68, 1 Sm 2.93
S: 0.7500 0.3711 0.0433  3 Er 2.74-2.77, 2 Sm 2.98
S: 0.2500 0.6289 0.9567  3 Er 2.74-2.77, 2 Sm 2.98
S: 0.7500 0.8711 0.4567  3 Er 2.74-2.77, 2 Sm 2.98
S: 0.2500 0.1289 0.5433  3 Er 2.74-2.77, 2 Sm 2.98
S: 0.2500 0.1992 0.8170  3 Er 2.71-2.75, 2 Sm 2.89
S: 0.7500 0.8008 0.1830  3 Er 2.71-2.75, 2 Sm 2.89
S: 0.2500 0.6992 0.6830  3 Er 2.71-2.75, 2 Sm 2.89
S: 0.7500 0.3008 0.3170  3 Er 2.71-2.75, 2 Sm 2.89

two:
This record from Alexandria via LeMat-Bulk describes an optimized crystal structure of SmEr2S4. The functional is GGA-PBE.

Density of states at the Fermi level   0.2350 states/eV per atom
Mass density   6.32 g/cm3
V   23.0 Å³ per atom

Lattice parameters (Å, degrees): 3.8243 6.7006 13.1105 90.00 90.00 106.58
Last column: nearest neighbours and their distance in Å.
Fractional coordinates of all 14 atoms:
Sm: 0.6250 0.2499 0.7500  6 S 2.81-2.88
Sm: 0.3750 0.7501 0.2500  6 S 2.81-2.88
Er: 0.1299 0.2599 0.4314  6 S 2.67-2.76
Er: 0.8701 0.7401 0.9314  6 S 2.67-2.76
Er: 0.1299 0.2599 0.0686  6 S 2.67-2.76
Er: 0.8701 0.7401 0.5686  6 S 2.67-2.76
S: 0.7737 0.5474 0.1196  3 Er 2.74-2.76, 2 Sm 2.88
S: 0.7737 0.5474 0.3804  3 Er 2.74-2.76, 2 Sm 2.88
S: 0.2263 0.4526 0.8804  3 Er 2.74-2.76, 2 Sm 2.88
S: 0.2263 0.4526 0.6196  3 Er 2.74-2.76, 2 Sm 2.88
S: 0.9642 0.9284 0.7500  2 Er 2.67, 2 Sm 2.81
S: 0.0358 0.0716 0.2500  2 Er 2.67, 2 Sm 2.81
S: 0.5000 0.0000 0.0000  4 Er 2.69
S: 0.5000 0.0000 0.5000  4 Er 2.69

Verdict on stability: two comes out on top.

one:
This record from Alexandria via LeMat-Bulk describes an optimized crystal structure of Sm3ErS4. The functional is GGA-PBE.

Density of states at the Fermi level   0.4414 states/eV per atom
Mass density   6.99 g/cm3
V   22.2 Å³ per atom

Lattice parameters (Å, degrees): 6.8889 6.9242 7.8877 90.00 90.00 109.38
Last column: nearest neighbours and their distance in Å.
Fractional coordinates of all 16 atoms:
S: 0.9949 0.2450 0.6303  1 Er 2.74, 5 Sm 2.80-2.85
S: 0.5003 0.2405 0.8800  2 Er 2.76, 4 Sm 2.81-2.87
S: 0.4949 0.2450 0.3697  1 Er 2.74, 5 Sm 2.80-2.85
S: 0.0003 0.2405 0.1200  2 Er 2.76, 4 Sm 2.81-2.87
S: 0.9997 0.7595 0.8800  2 Er 2.76, 4 Sm 2.81-2.87
S: 0.5051 0.7550 0.6303  1 Er 2.74, 5 Sm 2.80-2.85
S: 0.4997 0.7595 0.1200  2 Er 2.76, 4 Sm 2.81-2.87
S: 0.0051 0.7550 0.3697  1 Er 2.74, 5 Sm 2.80-2.85
Sm: 0.7500 0.0000 0.3762  6 S 2.80-2.82
Sm: 0.2500 0.0000 0.6238  6 S 2.80-2.82
Sm: 0.7500 0.5000 0.6231  6 S 2.82-2.87
Sm: 0.7500 0.5000 0.1264  6 S 2.80-2.87
Sm: 0.2500 0.5000 0.3769  6 S 2.82-2.87
Sm: 0.2500 0.5000 0.8736  6 S 2.80-2.87
Er: 0.7500 0.0000 0.8736  6 S 2.74-2.76
Er: 0.2500 0.0000 0.1264  6 S 2.74-2.76

two:
This record from Alexandria via LeMat-Bulk describes an optimized crystal structure of Sm3ErS4. The functional is GGA-PBE.

Density of states at the Fermi level   0.5493 states/eV per atom
Mass density   6.97 g/cm3
V   22.2 Å³ per atom

Lattice parameters (Å, degrees): 5.6231 5.6231 5.6231 90.00 90.00 90.00
Last column: nearest neighbours and their distance in Å.
Fractional coordinates of all 8 atoms:
Sm: 0.0000 0.5000 0.5000  6 S 2.81
Sm: 0.5000 0.0000 0.5000  6 S 2.81
Sm: 0.5000 0.5000 0.0000  6 S 2.81
Er: 0.0000 0.0000 0.0000  6 S 2.81
S: 0.5000 0.0000 0.0000  4 Sm 2.81, 2 Er 2.81
S: 0.0000 0.5000 0.0000  4 Sm 2.81, 2 Er 2.81
S: 0.0000 0.0000 0.5000  4 Sm 2.81, 2 Er 2.81
S: 0.5000 0.5000 0.5000  6 Sm 2.81

Verdict on stability: one comes out on top.